A plane-wave DFT calculation with GGA-PBE was carried out for a relaxed Ac3SbPd8Pb2 crystal.

Properties
Magnetic moment in μB/f.u.: 0.00
Formation energy from raw total energies in eV per atom: -0.619

a b c (Å): 5.7590 5.7590 11.0633
angles (deg): 90.00 90.00 120.00
Last column: nearest neighbours and their distance in Å.
Fractional coordinates of all 14 atoms:
Pd1 0.1647 0.3295 0.2945  1 Pb 2.73, 1 Sb 2.81, 4 Pd 2.85-2.91
Pd2 0.8353 0.6705 0.7055  1 Pb 2.73, 1 Sb 2.81, 4 Pd 2.85-2.91
Pd3 0.8353 0.1647 0.7055  1 Pb 2.73, 1 Sb 2.81, 4 Pd 2.85-2.91
Pd4 0.1647 0.8353 0.2945  1 Pb 2.73, 1 Sb 2.81, 4 Pd 2.85-2.91
Pd5 0.6705 0.8353 0.2945  1 Pb 2.73, 1 Sb 2.81, 4 Pd 2.85-2.91
Pd6 0.3295 0.1647 0.7055  1 Pb 2.73, 1 Sb 2.81, 4 Pd 2.85-2.91
Pd7 0.6667 0.3333 0.1480  1 Pb 2.75, 1 Ac 2.93
Pd8 0.3333 0.6667 0.8520  1 Pb 2.75, 1 Ac 2.93
Ac1 0.6667 0.3333 0.4125  7 Pd 2.93-3.16
Ac2 0.3333 0.6667 0.5875  7 Pd 2.93-3.16
Ac3 0.0000 0.0000 0.0000  6 Pb 3.51, 12 Pd 3.65-3.71
Pb1 0.6667 0.3333 0.8996  4 Pd 2.73-2.75
Pb2 0.3333 0.6667 0.1004  4 Pd 2.73-2.75
Sb1 0.0000 0.0000 0.5000  6 Pd 2.81

---

A plane-wave DFT calculation with GGA-PBE was carried out for a relaxed AcScPdPb crystal.

Properties
Magnetic moment in μB/f.u.: 0.10
Formation enthalpy at 0 K in eV/atom: -0.441

a b c (Å): 5.3476 5.3476 5.3476
angles (deg): 60.00 60.00 60.00
Last column: nearest neighbours and their distance in Å.
Fractional coordinates of all 4 atoms:
Sc1 0.0000 0.0000 0.0000  4 Pb 3.27, 4 Pd 3.27
Pb1 0.2500 0.2500 0.2500  4 Ac 3.27, 4 Sc 3.27
Ac1 0.5000 0.5000 0.5000  4 Pd 3.27, 4 Pb 3.27
Pd1 0.7500 0.7500 0.7500  4 Ac 3.27, 4 Sc 3.27

---

A plane-wave DFT calculation with GGA-PBE was carried out for a relaxed Ac2SiPd6Pb crystal.

Properties
Magnetic moment in μB/f.u.: 0.00
Formation energy from raw total energies in eV per atom: -0.648

a b c (Å): 6.5074 7.4172 7.3409
angles (deg): 52.52 63.77 90.10
Last column: nearest neighbours and their distance in Å.
Fractional coordinates of all 10 atoms:
Pd1 0.1809 0.2655 0.0749  1 Si 2.34
Pd2 0.7423 0.2636 0.0739  1 Si 2.34
Pd3 0.2602 0.1706 0.4804  1 Si 2.34
Pd4 0.7398 0.8294 0.5196  1 Si 2.34
Pd5 0.8191 0.7345 0.9251  1 Si 2.34
Pd6 0.2577 0.7364 0.9261  1 Si 2.34
Ac1 0.7387 0.2580 0.5231  9 Pd 3.19-3.39
Ac2 0.2613 0.7420 0.4768  9 Pd 3.19-3.39
Pb1 0.0000 0.0000 0.0000  6 Pd 2.73
Si1 0.5000 0.5000 0.0000  6 Pd 2.34

---

A plane-wave DFT calculation with GGA-PBE was carried out for a relaxed Ac2SmPd6Pb3 crystal.

Properties
Magnetic moment in μB/f.u.: 0.00
Formation enthalpy at 0 K in eV/atom: -0.426

a b c (Å): 4.1212 4.1212 19.1714
angles (deg): 90.00 90.00 90.00
Last column: nearest neighbours and their distance in Å.
Fractional coordinates of all 12 atoms:
Ac1 0.5000 0.5000 0.8851  4 Pd 3.01
Ac2 0.5000 0.5000 0.1149  4 Pd 3.01
Pb1 0.0000 0.0000 0.0000  2 Pd 2.94
Pb2 0.0000 0.0000 0.2942  5 Pd 2.70-2.78
Pb3 0.0000 0.0000 0.7058  5 Pd 2.70-2.78
Sm1 0.5000 0.5000 0.5000  8 Pd 2.93
Pd1 0.0000 0.5000 0.6085  2 Pb 2.78, 4 Pd 2.91, 2 Sm 2.93
Pd2 0.5000 0.0000 0.6085  2 Pb 2.78, 4 Pd 2.91, 2 Sm 2.93
Pd3 0.5000 0.0000 0.3915  2 Pb 2.78, 4 Pd 2.91, 2 Sm 2.93
Pd4 0.0000 0.5000 0.3915  2 Pb 2.78, 4 Pd 2.91, 2 Sm 2.93
Pd5 0.0000 0.0000 0.8467  2 Pb 2.70-2.94, 4 Ac 3.01
Pd6 0.0000 0.0000 0.1533  2 Pb 2.70-2.94, 4 Ac 3.01

---

A plane-wave DFT calculation with GGA-PBE was carried out for a relaxed Ac2SmPd4Pb3 crystal.

Properties
Magnetic moment in μB/f.u.: 0.00
Formation enthalpy at 0 K in eV/atom: -0.622

a b c (Å): 4.7815 4.7815 11.4804
angles (deg): 90.00 90.00 90.00
Last column: nearest neighbours and their distance in Å.
Fractional coordinates of all 10 atoms:
Ac1 0.5000 0.0000 0.2220  8 Pd 3.49-3.72, 4 Pb 3.57
Ac2 0.0000 0.5000 0.7780  8 Pd 3.49-3.72, 4 Pb 3.57
Sm1 0.5000 0.5000 0.5000  4 Pd 2.90
Pd1 0.5000 0.0000 0.6428  3 Pb 2.70-2.90, 2 Sm 2.90
Pd2 0.5000 0.5000 0.0000  4 Pb 2.77
Pd3 0.0000 0.5000 0.3572  3 Pb 2.70-2.90, 2 Sm 2.90
Pd4 0.0000 0.0000 0.0000  4 Pb 2.77
Pb1 0.0000 0.0000 0.5000  4 Pd 2.90
Pb2 0.0000 0.5000 0.1219  5 Pd 2.70-2.77
Pb3 0.5000 0.0000 0.8781  5 Pd 2.70-2.77

---

A plane-wave DFT calculation with GGA-PBE was carried out for a relaxed AcSmPdPb crystal.

Properties
Magnetic moment in μB/f.u.: 0.00
Formation enthalpy at 0 K in eV/atom: -0.540

a b c (Å): 5.4985 5.4985 5.4985
angles (deg): 60.00 60.00 60.00
Last column: nearest neighbours and their distance in Å.
Fractional coordinates of all 4 atoms:
Pb1 0.7500 0.7500 0.7500  4 Sm 3.37, 4 Ac 3.37
Sm1 0.5000 0.5000 0.5000  4 Pb 3.37, 4 Pd 3.37
Pd1 0.2500 0.2500 0.2500  4 Ac 3.37, 4 Sm 3.37
Ac1 0.0000 0.0000 0.0000  4 Pd 3.37, 4 Pb 3.37

---

A plane-wave DFT calculation with GGA-PBE was carried out for a relaxed Ac3SnPd8Pb2 crystal.

Properties
Magnetic moment in μB/f.u.: 0.00
Formation enthalpy at 0 K in eV/atom: -0.591

a b c (Å): 5.7688 5.7688 11.0578
angles (deg): 90.00 90.00 120.00
Last column: nearest neighbours and their distance in Å.
Fractional coordinates of all 14 atoms:
Pb1 0.3333 0.6667 0.1022  4 Pd 2.74
Pb2 0.6667 0.3333 0.8978  4 Pd 2.74
Pd1 0.3333 0.6667 0.8543  1 Pb 2.74, 1 Ac 2.93
Pd2 0.3289 0.1645 0.7030  1 Pb 2.74, 1 Sn 2.78, 4 Pd 2.85-2.92
Pd3 0.1645 0.8355 0.2970  1 Pb 2.74, 1 Sn 2.78, 4 Pd 2.85-2.92
Pd4 0.6667 0.3333 0.1457  1 Pb 2.74, 1 Ac 2.93
Pd5 0.8355 0.1645 0.7030  1 Pb 2.74, 1 Sn 2.78, 4 Pd 2.85-2.92
Pd6 0.8355 0.6711 0.7030  1 Pb 2.74, 1 Sn 2.78, 4 Pd 2.85-2.92
Pd7 0.6711 0.8355 0.2970  1 Pb 2.74, 1 Sn 2.78, 4 Pd 2.85-2.92
Pd8 0.1645 0.3289 0.2970  1 Pb 2.74, 1 Sn 2.78, 4 Pd 2.85-2.92
Ac1 0.0000 0.0000 0.0000  6 Pb 3.52, 12 Pd 3.67-3.70
Ac2 0.3333 0.6667 0.5892  7 Pd 2.93-3.15
Ac3 0.6667 0.3333 0.4108  7 Pd 2.93-3.15
Sn1 0.0000 0.0000 0.5000  6 Pd 2.78

---

A plane-wave DFT calculation with GGA-PBE was carried out for a relaxed Ac3Sn2Pd6Pb crystal.

Properties
Magnetic moment in μB/f.u.: 0.00
Formation enthalpy at 0 K in eV/atom: -0.671

a b c (Å): 6.1227 6.1227 9.1404
angles (deg): 90.00 90.00 120.00
Last column: nearest neighbours and their distance in Å.
Fractional coordinates of all 12 atoms:
Pd1 0.6439 0.8219 0.2785  1 Sn 2.76, 1 Pb 2.77, 2 Pd 2.85
Pd2 0.1781 0.3561 0.2785  1 Sn 2.76, 1 Pb 2.77, 2 Pd 2.85
Pd3 0.8219 0.1781 0.7215  1 Sn 2.76, 1 Pb 2.77, 2 Pd 2.85
Pd4 0.8219 0.6439 0.7215  1 Sn 2.76, 1 Pb 2.77, 2 Pd 2.85
Pd5 0.3561 0.1781 0.7215  1 Sn 2.76, 1 Pb 2.77, 2 Pd 2.85
Pd6 0.1781 0.8219 0.2785  1 Sn 2.76, 1 Pb 2.77, 2 Pd 2.85
Pb1 0.0000 0.0000 0.5000  6 Pd 2.77
Ac1 0.0000 0.0000 0.0000  6 Pd 3.17
Ac2 0.3333 0.6667 0.6415  6 Pd 3.15
Ac3 0.6667 0.3333 0.3585  6 Pd 3.15
Sn1 0.3333 0.6667 0.0364  3 Pd 2.76
Sn2 0.6667 0.3333 0.9636  3 Pd 2.76